(1)
A relaxed structure of SrNi6B3. Source: the Alexandria database, functional GGA-PBE.

```
SrNi6B3
1.0
4.798 0.000 0.000
-0.004 5.486 0.000
-1.752 -2.723 4.663
Sr Ni B
1 6 3
Cartesian
0.000 0.000 0.000 Sr
1.203 2.744 0.324 Ni
0.333 -1.259 2.799 Ni
0.333 1.280 2.799 Ni
2.801 1.535 1.823 Ni
2.799 3.968 1.820 Ni
1.835 0.019 4.477 Ni
-0.320 2.755 1.601 B
1.829 0.007 2.521 B
3.514 0.007 3.101 B
```

The calculation puts the density of states at the Fermi level at 5.44 states/eV/f.u. The calculation puts the electronic total energy at -5.8631 eV/atom. As for the energy of formation from the pure elements: -223 meV/atom.

***

(2)
A relaxed structure of Nd2AuC. Source: the Alexandria database, functional GGA-PBE.

```
Nd2AuC
1.0
1.899 1.096 7.440
-1.899 1.096 7.440
0.000 -2.193 7.440
Nd Au C
2 1 1
Cartesian
0.000 0.000 5.139 Nd
0.000 0.000 17.183 Nd
0.000 0.000 0.000 Au
0.000 0.000 11.161 C
```

The calculation puts the density of states at the Fermi level at 3.23 states/eV/f.u. The calculation puts the electronic total energy at -5.8543 eV/atom. As for the energy of formation from the pure elements: -345 meV/atom.

***

(3)
A relaxed structure of Rb2HfCu2Te6. Source: the Alexandria database, functional GGA-PBE.

```
Rb2HfCu2Te6
1.0
6.682 -3.302 0.000
6.682 3.302 0.000
-3.210 0.000 9.285
Rb Hf Cu Te
2 1 2 6
Cartesian
1.842 0.000 1.232 Rb
8.312 0.000 8.053 Rb
-1.605 0.000 4.643 Hf
3.298 0.000 6.293 Cu
6.856 0.000 2.992 Cu
5.110 1.666 2.267 Te
1.390 0.000 4.726 Te
5.044 1.666 7.018 Te
5.110 -1.666 2.267 Te
8.764 0.000 4.559 Te
5.044 -1.666 7.018 Te
```

The calculation puts the density of states at the Fermi level at 2.53 states/eV/f.u. The calculation puts the electronic total energy at -3.9869 eV/atom. The value obtained for the uncorrected formation energy is -447.7 meV per atom.

***

(4)
A relaxed structure of Re6Ir7. Source: the Alexandria database, functional GGA-PBE.

```
Re6Ir7
1.0
2.541 1.467 8.854
-2.541 1.467 8.854
0.000 -2.934 8.854
Re Ir
6 7
Cartesian
0.000 0.000 1.230 Re
0.000 0.000 4.027 Re
0.000 0.000 8.895 Re
0.000 0.000 17.666 Re
0.000 0.000 22.534 Re
0.000 0.000 25.331 Re
-1.279 -0.738 11.126 Ir
0.000 -1.477 15.435 Ir
-1.279 0.738 15.435 Ir
0.000 0.000 13.281 Ir
1.279 -0.738 11.126 Ir
0.000 1.477 11.126 Ir
1.279 0.738 15.435 Ir
```

The calculation puts the density of states at the Fermi level at 11.01 states/eV/f.u. The calculation puts the electronic total energy at -10.2360 eV/atom. As for the energy of formation from the pure elements: 281 meV/atom.

***

(5)
A relaxed structure of ThAl2Ni3. Source: the Alexandria database, functional GGA-PBE.

```
ThAl2Ni3
1.0
4.762 -3.849 0.000
4.762 3.849 0.000
0.000 0.000 5.209
Th Al Ni
2 4 6
Cartesian
4.762 2.382 3.906 Th
4.762 -2.382 1.302 Th
2.711 0.000 0.000 Al
2.711 0.000 2.604 Al
6.814 0.000 0.000 Al
6.814 0.000 2.604 Al
3.229 2.196 1.302 Ni
6.296 2.196 1.302 Ni
4.762 0.348 1.302 Ni
4.762 -0.348 3.906 Ni
3.229 -2.196 3.906 Ni
6.296 -2.196 3.906 Ni
```

The calculation puts the density of states at the Fermi level at 2.58 states/eV/f.u. The calculation puts the electronic total energy at -5.9483 eV/atom. As for the energy of formation from the pure elements: -573 meV/atom.

***

(6)
A relaxed structure of HfIn2GeOs. Source: the Alexandria database, functional GGA-PBE.

```
HfIn2GeOs
1.0
5.171 0.000 0.000
0.000 5.171 0.000
0.000 0.000 4.659
Hf In Ge Os
1 2 1 1
Cartesian
0.000 0.000 0.000 Hf
0.000 2.586 2.330 In
2.586 0.000 2.330 In
2.586 2.586 0.000 Ge
2.586 2.586 2.330 Os
```

The calculation puts the density of states at the Fermi level at 3.03 states/eV/f.u. The calculation puts the electronic total energy at -5.5580 eV/atom. As for the energy of formation from the pure elements: 698 meV/atom.

***

(7)
A relaxed structure of SrAc3Rh. Source: the Alexandria database, functional GGA-PBE.

```
SrAc3Rh
1.0
6.891 -8.392 0.000
6.891 8.392 0.000
-0.017 0.000 7.363
Sr Ac Rh
4 12 4
Cartesian
1.683 1.082 0.645 Sr
1.674 -1.082 4.327 Sr
12.090 1.082 3.036 Sr
12.082 -1.082 6.718 Sr
5.123 5.234 3.023 Ac
5.183 3.174 6.732 Ac
5.232 1.090 3.076 Ac
8.650 5.234 0.659 Ac
8.573 3.174 4.313 Ac
5.223 -1.090 6.757 Ac
8.541 1.090 0.605 Ac
5.192 -3.174 3.050 Ac
5.115 -5.234 6.704 Ac
8.533 -1.090 4.287 Ac
8.581 -3.174 0.631 Ac
8.641 -5.234 4.340 Ac
6.887 3.320 1.841 Rh
6.878 1.101 5.522 Rh
6.887 -1.101 1.841 Rh
6.878 -3.320 5.522 Rh
```

The calculation puts the density of states at the Fermi level at 6.93 states/eV/f.u. Its distance to the lowest polymorph of the same formula is 0.0 kJ/mol of formula units. The calculation puts the electronic total energy at -4.5759 eV/atom. As for the energy of formation from the pure elements: -304 meV/atom.

***

(8)
A relaxed structure of CuOs2Pt. Source: the Alexandria database, functional GGA-PBE.

```
CuOs2Pt
1.0
-1.918 1.918 3.842
1.918 -1.918 3.842
1.918 1.918 -3.842
Cu Os Pt
1 2 1
Cartesian
0.000 0.000 0.000 Cu
1.918 0.000 1.921 Os
0.000 0.000 3.842 Os
0.000 1.918 1.921 Pt
```

The calculation puts the density of states at the Fermi level at 4.00 states/eV/f.u. Its distance to the lowest polymorph of the same formula is 60.7 kJ/mol of formula units. The calculation puts the electronic total energy at -7.9042 eV/atom. As for the energy of formation from the pure elements: 245 meV/atom.

***

(9)
A relaxed structure of KMnHgAs2. Source: the Alexandria database, functional GGA-PBE.

```
KMnHgAs2
1.0
4.646 0.000 0.000
0.000 4.646 0.000
0.000 0.000 6.317
K Mn Hg As
1 1 1 2
Cartesian
0.000 0.000 0.000 K
0.000 0.000 3.159 Mn
2.323 2.323 0.000 Hg
0.000 2.323 3.159 As
2.323 0.000 3.159 As
```

The calculation puts the density of states at the Fermi level at 3.43 states/eV/f.u. The calculation puts the electronic total energy at -3.8350 eV/atom. As for the energy of formation from the pure elements: 139 meV/atom.

***

(10)
A relaxed structure of PaPdRhO6. Source: the Alexandria database, functional GGA-PBE.

```
PaPdRhO6
1.0
5.310 0.000 0.000
-2.655 4.599 0.000
0.000 0.000 9.048
Pa Pd Rh O
2 2 2 12
Cartesian
0.000 3.066 2.262 Pa
2.655 1.533 6.786 Pa
0.000 3.066 6.786 Pd
2.655 1.533 2.262 Pd
0.000 0.000 0.000 Rh
0.000 0.000 4.524 Rh
-0.823 1.517 5.630 O
-1.753 3.127 7.942 O
0.823 1.517 7.942 O
-0.930 4.553 5.630 O
1.726 0.046 1.106 O
0.903 1.471 3.418 O
1.753 3.127 5.630 O
0.930 4.553 7.942 O
3.585 0.046 3.418 O
1.832 3.082 1.106 O
4.408 1.471 1.106 O
3.478 3.082 3.418 O
```

The calculation puts the electronic total energy at -7.3607 eV/atom. The value obtained for the uncorrected formation energy is -1606.3 meV per atom.

***

(11)
A relaxed structure of Th2ZnC. Source: the Alexandria database, functional GGA-PBE.

```
Th2ZnC
1.0
1.853 1.070 7.802
-1.853 1.070 7.802
0.000 -2.139 7.802
Th Zn C
2 1 1
Cartesian
0.000 0.000 0.000 Th
0.000 0.000 4.885 Th
0.000 0.000 10.245 Zn
0.000 0.000 14.185 C
```

The calculation puts the density of states at the Fermi level at 3.01 states/eV/f.u. The calculation puts the electronic total energy at -6.5324 eV/atom. As for the energy of formation from the pure elements: -198 meV/atom.

***

(12)
A relaxed structure of FeC4. Source: the Alexandria database, functional GGA-PBE.

```
FeC4
1.0
-1.742 1.742 2.787
1.742 -1.742 2.787
1.742 1.742 -2.787
Fe C
1 4
Cartesian
0.000 0.000 0.000 Fe
1.742 0.000 1.393 C
0.000 0.000 2.016 C
0.000 0.000 3.557 C
0.000 1.742 1.393 C
```

The calculation puts the density of states at the Fermi level at 2.82 states/eV/f.u. Its distance to the lowest polymorph of the same formula is 810.8 kJ/mol of formula units. The calculation puts the electronic total energy at -6.8522 eV/atom. As for the energy of formation from the pure elements: 2219 meV/atom.